Compound: LaTb3Mo4O14
Source: Alexandria
Functional: GGA+U
Structure: optimized geometry

Calculated values
Its symmetry is R-3m (166). For the energy, the calculation gives -173.4 eV/cell.

POSCAR file:
```
LaTb3Mo4O14
1.0
3.744 2.162 5.987
-3.744 2.162 5.987
0.000 -4.323 5.987
La Tb Mo O
1 3 4 14
direct
0.000 0.000 0.000
0.000 0.000 0.500
0.000 0.500 0.000
0.500 0.000 0.000
0.000 0.500 0.500
0.500 0.000 0.500
0.500 0.500 0.000
0.500 0.500 0.500
0.129 0.129 0.129
0.151 0.593 0.593
0.169 0.169 0.584
0.169 0.584 0.169
0.407 0.407 0.849
0.407 0.849 0.407
0.416 0.831 0.831
0.584 0.169 0.169
0.593 0.151 0.593
0.593 0.593 0.151
0.831 0.416 0.831
0.831 0.831 0.416
0.849 0.407 0.407
0.871 0.871 0.871
```